First-principles (PBE-GGA) data for a geometry-optimized K2PuZn2Se4 structure, as listed in Alexandria.

```
K2PuZn2Se4
1.0
-0.072 2.285 -3.567
-7.944 0.529 0.500
3.205 4.910 5.597
K Se Zn Pu
2 4 2 1
Direct
0.128 0.553 0.255 K
0.872 0.447 0.745 K
0.520 0.756 0.040 Se
0.480 0.244 0.960 Se
0.793 0.825 0.586 Se
0.207 0.175 0.414 Se
0.330 0.016 0.659 Zn
0.670 0.984 0.341 Zn
0.000 0.000 0.000 Pu
```

=====

First-principles (PBE-GGA) data for a geometry-optimized K2Pu2ZnSe6 structure, as listed in Alexandria.

```
K2Pu2ZnSe6
1.0
-4.625 -5.547 0.876
4.137 0.819 -5.928
5.850 -2.657 5.047
Se Pu Zn K
6 2 1 2
Direct
0.761 0.761 0.677 Se
0.940 0.586 0.299 Se
0.414 0.060 0.701 Se
0.586 0.940 0.299 Se
0.060 0.414 0.701 Se
0.239 0.239 0.323 Se
0.666 0.334 0.500 Pu
0.334 0.666 0.500 Pu
0.000 0.000 0.500 Zn
0.841 0.159 0.000 K
0.159 0.841 0.000 K
```

=====

First-principles (PBE-GGA) data for a geometry-optimized K3Pu3ZnSe8 structure, as listed in Alexandria.

```
K3Pu3ZnSe8
1.0
8.263 0.000 0.000
-4.132 7.313 -0.050
0.000 -4.871 7.766
K Se Pu Zn
3 8 3 1
Direct
0.000 0.000 0.000 K
0.500 0.500 0.000 K
0.000 0.500 0.000 K
0.252 0.504 0.709 Se
0.784 0.033 0.314 Se
0.249 0.033 0.314 Se
0.264 0.529 0.294 Se
0.216 0.967 0.686 Se
0.748 0.496 0.291 Se
0.751 0.967 0.686 Se
0.736 0.471 0.706 Se
0.500 0.000 0.500 Pu
0.000 0.500 0.500 Pu
0.500 0.500 0.500 Pu
0.000 0.000 0.500 Zn
```

=====

Number 1: raw formation energy -1022 meV per atom. Number 2: raw formation energy -1123 meV per atom. Number 3: raw formation energy -1181 meV per atom.